# ThMgGa2Au2

A relaxed ThMgGa2Au2 crystal (PBE, Alexandria).

Unit cell a=4.486 b=4.486 c=7.058 alpha=90.00 beta=90.00 gamma=120.00
Sites, in units of the cell vectors:
1 Th 0.000 0.000 0.000
2 Mg 0.000 0.000 0.500
3 Ga 0.333 0.667 0.728
4 Ga 0.667 0.333 0.272
5 Au 0.333 0.667 0.294
6 Au 0.667 0.333 0.706

Results
**Space-group type**: P-3m1, No. 164
**D(E_F)**: 0.7505 states/eV per atom
**Theoretical density**: 10.66 g cm⁻³
**DFT formation energy**: -3.51 eV/f.u.
**DFT total energy**: -25.1 eV per cell
**Crystal system**: trigonal